(1)
# PBE with a Hubbard U Li2NiSnP2O8, relaxed
# size of the total moment = 2.0 μB/f.u.
# crystal system = monoclinic
# electronic total energy = -0.465 Ry/atom
# ρ = 3.7 g cm⁻³
data_Li2NiSnP2O8
_space_group_name_H-M_alt 'P 1 21/m 1'
_space_group_IT_number 11
_cell_length_a 4.841
_cell_length_b 6.277
_cell_length_c 11.210
_cell_angle_alpha 90.00
_cell_angle_beta 91.50
_cell_angle_gamma 90.00
loop_
_space_group_symop_operation_xyz
'x,y,z'
'-x,-y,-z'
'-x,y+1/2,-z'
'x,-y+1/2,z'
loop_
_atom_site_label
_atom_site_type_symbol
_atom_site_fract_x
_atom_site_fract_y
_atom_site_fract_z
Li1 Li 0.000 0.000 0.000
Li2 Li 0.500 0.000 0.500
Ni1 Ni 0.067 0.250 0.705
Sn1 Sn 0.472 0.250 0.225
P1 P 0.087 0.750 0.575
P2 P 0.336 0.750 0.127
O1 O 0.186 0.554 0.186
O2 O 0.189 0.750 0.445
O3 O 0.228 0.550 0.637
O4 O 0.230 0.250 0.413
O5 O 0.247 0.750 0.993
O6 O 0.351 0.250 0.851


(2)
# PBE with a Hubbard U Li4NiSn3P4O16, relaxed
# size of the total moment = 2.0 μB/f.u.
# crystal system = monoclinic
# electronic total energy = -0.470 Ry/atom
# ρ = 3.8 g cm⁻³
data_Li4NiSn3P4O16
_space_group_name_H-M_alt 'P 1 m 1'
_space_group_IT_number 6
_cell_length_a 4.848
_cell_length_b 6.832
_cell_length_c 10.870
_cell_angle_alpha 90.00
_cell_angle_beta 91.25
_cell_angle_gamma 90.00
loop_
_space_group_symop_operation_xyz
'x,y,z'
'x,-y,z'
loop_
_atom_site_label
_atom_site_type_symbol
_atom_site_fract_x
_atom_site_fract_y
_atom_site_fract_z
Li1 Li 0.000 0.221 0.000
Li2 Li 0.433 0.261 0.484
Ni1 Ni 0.900 0.500 0.270
Sn1 Sn 0.007 0.000 0.701
Sn2 Sn 0.399 0.000 0.213
Sn3 Sn 0.478 0.500 0.779
P1 P 0.018 0.500 0.558
P2 P 0.314 0.500 0.105
P3 P 0.580 0.000 0.922
P4 P 0.835 0.000 0.414
O1 O 0.137 0.500 0.425
O2 O 0.148 0.320 0.628
O3 O 0.151 0.000 0.424
O4 O 0.164 0.321 0.165
O5 O 0.227 0.500 0.965
O6 O 0.267 0.000 0.941
O7 O 0.626 0.500 0.126
O8 O 0.685 0.183 0.848
O9 O 0.701 0.000 0.546
O10 O 0.701 0.500 0.557
O11 O 0.713 0.185 0.345
O12 O 0.737 0.000 0.049


(3)
# PBE with a Hubbard U Li4Ni3SnP4O16, relaxed
# size of the total moment = 6.0 μB/f.u.
# crystal system = monoclinic
# electronic total energy = -0.462 Ry/atom
# ρ = 3.8 g cm⁻³
data_Li4Ni3SnP4O16
_space_group_name_H-M_alt 'P 1 m 1'
_space_group_IT_number 6
_cell_length_a 4.798
_cell_length_b 5.939
_cell_length_c 10.922
_cell_angle_alpha 90.00
_cell_angle_beta 94.01
_cell_angle_gamma 90.00
loop_
_space_group_symop_operation_xyz
'x,y,z'
'x,-y,z'
loop_
_atom_site_label
_atom_site_type_symbol
_atom_site_fract_x
_atom_site_fract_y
_atom_site_fract_z
Li1 Li 0.000 0.239 0.000
Li2 Li 0.578 0.252 0.465
Ni1 Ni 0.064 0.500 0.259
Ni2 Ni 0.096 0.000 0.674
Ni3 Ni 0.548 0.000 0.210
Sn1 Sn 0.571 0.500 0.762
P1 P 0.007 0.500 0.548
P2 P 0.146 0.000 0.380
P3 P 0.422 0.000 0.899
P4 P 0.604 0.500 0.096
O1 O 0.275 0.206 0.312
O2 O 0.284 0.203 0.822
O3 O 0.284 0.500 0.095
O4 O 0.291 0.000 0.513
O5 O 0.307 0.000 0.029
O6 O 0.327 0.500 0.549
O7 O 0.719 0.500 0.967
O8 O 0.740 0.000 0.904
O9 O 0.748 0.290 0.162
O10 O 0.825 0.000 0.375
O11 O 0.858 0.500 0.417
O12 O 0.892 0.286 0.613